Material: Li3Mo2P3O12
Method: DFT, GGA+U
State: relaxed

a b c (Å): 8.786 8.786 8.824
angles (deg): 62.94 62.94 61.46
Fractional positions:
1 O 0.469 0.763 0.636
2 O 0.723 0.618 0.410
3 O 0.382 0.277 0.090
4 O 0.061 0.479 0.201
5 O 0.755 0.071 0.896
6 O 0.277 0.382 0.590
7 O 0.977 0.901 0.687
8 O 0.531 0.237 0.364
9 O 0.237 0.531 0.864
10 O 0.901 0.977 0.187
11 O 0.303 0.610 0.063
12 O 0.521 0.939 0.299
13 O 0.618 0.723 0.910
14 O 0.479 0.061 0.701
15 O 0.763 0.469 0.136
16 O 0.610 0.303 0.563
17 O 0.023 0.099 0.313
18 O 0.390 0.697 0.437
19 O 0.697 0.390 0.937
20 O 0.099 0.023 0.813
21 O 0.929 0.245 0.604
22 O 0.071 0.755 0.396
23 O 0.939 0.521 0.799
24 O 0.245 0.929 0.104
25 Mo 0.641 0.148 0.139
26 Mo 0.359 0.852 0.861
27 Mo 0.148 0.641 0.639
28 Mo 0.852 0.359 0.361
29 Li 0.062 0.307 0.703
30 Li 0.938 0.693 0.297
31 Li 0.636 0.364 0.750
32 Li 0.307 0.062 0.203
33 Li 0.693 0.938 0.797
34 Li 0.364 0.636 0.250
35 P 0.947 0.053 0.750
36 P 0.475 0.244 0.552
37 P 0.756 0.525 0.948
38 P 0.244 0.475 0.052
39 P 0.053 0.947 0.250
40 P 0.525 0.756 0.448

## Properties
Energy relative to the lowest polymorph listed for this composition (eV per formula unit): 0.44
Total magnetic moment (Bohr magnetons per cell): 12.00
DOS at the Fermi energy (states/eV/cell): 0.00
SG: No. 15